# 1
Density functional theory data (PBE) for YPS2F after structural relaxation.

## Properties
- Total DFT energy (no corrections): -0.1788 Ha/atom
- Distance to the lowest polymorph of the same formula: 211 meV per atom

Cell lengths 4.7792, 4.7792, 3.9012 Å; angles 90.00, 90.00, 90.00 degrees
Positions (direct):
S (0.5000, 0.0000, 0.0000)
S (0.0000, 0.5000, 0.0000)
P (0.0000, 0.0000, 0.5000)
F (0.0000, 0.0000, 0.0000)
Y (0.5000, 0.5000, 0.5000)

=====

# 2
Density functional theory data (PBE) for ZnP2SF after structural relaxation.

## Properties
- Total DFT energy (no corrections): -0.1083 Ha/atom
- Distance to the lowest polymorph of the same formula: 0 meV per atom

Cell lengths 3.9595, 3.9595, 5.9462 Å; angles 90.00, 90.00, 90.00 degrees
Positions (direct):
F (0.0000, 0.0000, 0.0000)
P (0.0000, 0.5000, 0.0000)
P (0.5000, 0.0000, 0.0000)
S (0.0000, 0.0000, 0.5000)
Zn (0.5000, 0.5000, 0.5000)

=====

# 3
Density functional theory data (PBE) for ZnP2SF after structural relaxation.

## Properties
- Total DFT energy (no corrections): -0.1050 Ha/atom
- Distance to the lowest polymorph of the same formula: 92 meV per atom

Cell lengths 4.6367, 4.6367, 4.5463 Å; angles 90.00, 90.00, 90.00 degrees
Positions (direct):
P (0.0000, 0.5000, 0.0000)
P (0.5000, 0.0000, 0.0000)
F (0.5000, 0.5000, 0.5000)
S (0.0000, 0.0000, 0.5000)
Zn (0.0000, 0.0000, 0.0000)

=====

# 4
Density functional theory data (PBE) for SbP3F after structural relaxation.

## Properties
- Total DFT energy (no corrections): -0.1398 Ha/atom
- Distance to the lowest polymorph of the same formula: 0 meV per atom

Cell lengths 4.4694, 4.4694, 4.4694 Å; angles 90.00, 90.00, 90.00 degrees
Positions (direct):
P (0.0000, 0.0000, 0.5000)
P (0.5000, 0.0000, 0.0000)
P (0.0000, 0.5000, 0.0000)
F (0.0000, 0.0000, 0.0000)
Sb (0.5000, 0.5000, 0.5000)

=====

# 5
Density functional theory data (PBE) for SbPF3 after structural relaxation.

## Properties
- Total DFT energy (no corrections): -0.1498 Ha/atom
- Distance to the lowest polymorph of the same formula: 0 meV per atom

Cell lengths 4.5156, 4.5156, 4.5156 Å; angles 90.00, 90.00, 90.00 degrees
Each line ends with the local moment (μB).
Positions (direct):
F (0.0000, 0.0000, 0.5000)  0.09
F (0.0000, 0.5000, 0.0000)  0.05
F (0.5000, 0.0000, 0.0000)  0.06
P (0.5000, 0.5000, 0.5000)  1.20
Sb (0.0000, 0.0000, 0.0000)  0.02

=====

# 6
Density functional theory data (PBE) for Sb2PF after structural relaxation.

## Properties
- Total DFT energy (no corrections): -0.1588 Ha/atom
- Distance to the lowest polymorph of the same formula: 0 meV per atom

Cell lengths 7.1886, 7.1886, 6.0400 Å; angles 53.48, 53.48, 90.00 degrees
Positions (direct):
Sb (0.8750, 0.8788, 0.7500)
Sb (0.3750, 0.3712, 0.7500)
Sb (0.1212, 0.6250, 0.2500)
Sb (0.6288, 0.1250, 0.2500)
F (0.2500, 0.7500, 0.5000)
F (0.5000, 0.5000, 0.0000)
P (0.0000, 0.0000, 0.0000)
P (0.7500, 0.2500, 0.5000)

=====

# 7
Density functional theory data (PBE) for SbPF3 after structural relaxation.

## Properties
- Total DFT energy (no corrections): -0.1354 Ha/atom
- Distance to the lowest polymorph of the same formula: 390 meV per atom

Cell lengths 4.3021, 4.3021, 4.3021 Å; angles 90.00, 90.00, 90.00 degrees
Positions (direct):
F (0.5000, 0.0000, 0.0000)
F (0.0000, 0.5000, 0.0000)
F (0.0000, 0.0000, 0.5000)
Sb (0.5000, 0.5000, 0.5000)
P (0.0000, 0.0000, 0.0000)

=====

# 8
Density functional theory data (PBE) for SbP3F after structural relaxation.

## Properties
- Total DFT energy (no corrections): -0.1206 Ha/atom
- Distance to the lowest polymorph of the same formula: 524 meV per atom

Cell lengths 5.0677, 5.0677, 5.0677 Å; angles 90.00, 90.00, 90.00 degrees
Positions (direct):
P (0.0000, 0.0000, 0.5000)
P (0.0000, 0.5000, 0.0000)
P (0.5000, 0.0000, 0.0000)
F (0.5000, 0.5000, 0.5000)
Sb (0.0000, 0.0000, 0.0000)

=====

# 9
Density functional theory data (PBE) for Sb2PF after structural relaxation.

## Properties
- Total DFT energy (no corrections): -0.1539 Ha/atom
- Distance to the lowest polymorph of the same formula: 133 meV per atom

Cell lengths 4.7575, 4.7575, 4.7575 Å; angles 60.00, 60.00, 60.00 degrees
Positions (direct):
P (0.5000, 0.5000, 0.5000)
Sb (0.2500, 0.2500, 0.2500)
Sb (0.7500, 0.7500, 0.7500)
F (0.0000, 0.0000, 0.0000)

=====

# 10
Density functional theory data (PBE) for ScPF3 after structural relaxation.

## Properties
- Total DFT energy (no corrections): -0.2105 Ha/atom
- Distance to the lowest polymorph of the same formula: 0 meV per atom

Cell lengths 4.2270, 4.2270, 4.2270 Å; angles 90.00, 90.00, 90.00 degrees
Each line ends with the local moment (μB).
Positions (direct):
F (0.5000, 0.0000, 0.0000)  0.08
F (0.0000, 0.0000, 0.5000)  0.10
F (0.0000, 0.5000, 0.0000)  0.06
P (0.5000, 0.5000, 0.5000)  1.21
Sc (0.0000, 0.0000, 0.0000)  0.01

=====

# 11
Density functional theory data (PBE) for Sc2PF after structural relaxation.

## Properties
- Total DFT energy (no corrections): -0.2428 Ha/atom
- Distance to the lowest polymorph of the same formula: 345 meV per atom

Cell lengths 4.4753, 4.4753, 4.4753 Å; angles 60.00, 60.00, 60.00 degrees
Each line ends with the local moment (μB).
Positions (direct):
P (0.5000, 0.5000, 0.5000)  -0.04
F (0.0000, 0.0000, 0.0000)  0.01
Sc (0.2500, 0.2500, 0.2500)  0.61
Sc (0.7500, 0.7500, 0.7500)  0.61

=====

# 12
Density functional theory data (PBE) for Sc2PF after structural relaxation.

## Properties
- Total DFT energy (no corrections): -0.2408 Ha/atom
- Distance to the lowest polymorph of the same formula: 397 meV per atom

Cell lengths 5.3319, 5.3319, 6.7611 Å; angles 66.78, 66.78, 90.00 degrees
Positions (direct):
Sc (0.8750, 0.8354, 0.7500)
Sc (0.3750, 0.4146, 0.7500)
Sc (0.1646, 0.6250, 0.2500)
Sc (0.5854, 0.1250, 0.2500)
P (0.7500, 0.2500, 0.5000)
P (0.0000, 0.0000, 0.0000)
F (0.5000, 0.5000, 0.0000)
F (0.2500, 0.7500, 0.5000)